(1)
VASP calculation (PBE) on crystalline K3SrMg2F9 at its relaxed geometry.

```
15
Lattice="5.957 0.000 0.000 -2.979 5.159 0.000 0.000 0.000 7.656" Properties=species:S:1:pos:R:3 pbc="T T T"
K 0.000 0.000 0.000
K 0.000 3.439 5.405
K 2.979 1.720 2.250
Sr 0.000 0.000 3.828
Mg 0.000 3.439 1.164
Mg 2.979 1.720 6.491
F -1.489 2.580 0.000
F 0.000 1.821 2.311
F -1.402 4.249 2.311
F 1.577 0.910 5.345
F 2.979 0.000 0.000
F 1.489 2.580 0.000
F 1.402 4.249 2.311
F 4.380 0.910 5.345
F 2.979 3.338 5.345
```

The calculation puts the calculated volume at 15.7 A^3/atom. The total energy comes out at -4.979 eV per atom.

(2)
VASP calculation (PBE) on crystalline LiDy5Bi4 at its relaxed geometry.

```
10
Lattice="-4.919 4.919 3.174 4.919 -4.919 3.174 4.919 4.919 -3.174" Properties=species:S:1:pos:R:3 pbc="T T T"
Li 0.000 0.000 0.000
Dy 3.026 -0.966 1.258
Dy 6.811 0.966 1.258
Dy 0.966 3.026 1.258
Dy 0.000 0.000 3.268
Dy -0.966 6.811 1.258
Bi 3.944 2.092 1.251
Bi 2.827 -0.974 4.425
Bi 2.092 5.893 1.251
Bi 0.974 2.827 4.425
```

The calculation puts the calculated volume at 30.7 A^3/atom. The total energy comes out at -4.629 eV per atom. Its formation enthalpy at 0 K is -5.84 eV per formula unit.

Magnetic moment (μB per cell)
0.000, 0.012